(1)
Entry from the Alexandria database: Cs9Rb4Au after structural relaxation (GGA-PBE).

Cell: 14.290 14.642 14.642 Å, 120.00 90.00 90.00°
Fractional coordinates of all 28 atoms:
Cs 0.076 0.782 0.563
Cs 0.076 0.782 0.218
Cs 0.076 0.437 0.218
Cs 0.924 0.218 0.437
Cs 0.924 0.218 0.782
Cs 0.924 0.563 0.782
Cs 0.576 0.218 0.437
Cs 0.576 0.218 0.782
Cs 0.576 0.563 0.782
Cs 0.424 0.782 0.563
Cs 0.424 0.782 0.218
Cs 0.424 0.437 0.218
Cs 0.250 0.458 0.915
Cs 0.250 0.458 0.542
Cs 0.250 0.085 0.542
Cs 0.750 0.542 0.085
Cs 0.750 0.542 0.458
Cs 0.750 0.915 0.458
Rb 0.250 0.114 0.228
Rb 0.250 0.114 0.886
Rb 0.250 0.772 0.886
Rb 0.750 0.886 0.772
Rb 0.750 0.886 0.114
Rb 0.750 0.228 0.114
Rb 0.000 0.000 0.000
Rb 0.500 0.000 0.000
Au 0.250 0.667 0.333
Au 0.750 0.333 0.667



(2)
Entry from the Alexandria database: Cs2Rb7Au2 after structural relaxation (GGA-PBE).

Cell: 10.765 9.553 9.553 Å, 113.98 96.39 96.39°
Fractional coordinates of all 11 atoms:
Cs 0.500 0.632 0.368
Cs 0.500 0.368 0.632
Rb 0.187 0.988 0.402
Rb 0.813 0.598 0.012
Rb 0.813 0.012 0.598
Rb 0.187 0.402 0.988
Rb 0.000 0.000 0.000
Rb 0.853 0.345 0.345
Rb 0.147 0.655 0.655
Au 0.789 0.664 0.664
Au 0.211 0.336 0.336



no.,calculated total energy (eV/atom),size of the total moment (Bohr magnetons per cell)
1,-1.098,0.00
2,-1.384,0.00